Material: LiLuPd2
Method: DFT, GGA-PBE
State: optimized geometry

Summary:
- Crystal system: cubic
- SG: F-43m
- Relative energy among the computed polymorphs: 136 meV/atom
- Total moment: 0.00 μB per cell

Cell: 6.5031 6.5031 6.5031 Å, 90.00 90.00 90.00°
Fractional coordinates of all 16 atoms:
Li  0.0000  0.0000  0.0000
Li  0.0000  0.5000  0.5000
Li  0.5000  0.0000  0.5000
Li  0.5000  0.5000  0.0000
Lu  0.2500  0.2500  0.2500
Lu  0.2500  0.7500  0.7500
Lu  0.7500  0.2500  0.7500
Lu  0.7500  0.7500  0.2500
Pd  0.0000  0.0000  0.5000
Pd  0.0000  0.5000  0.0000
Pd  0.2500  0.2500  0.7500
Pd  0.2500  0.7500  0.2500
Pd  0.5000  0.0000  0.0000
Pd  0.5000  0.5000  0.5000
Pd  0.7500  0.2500  0.2500
Pd  0.7500  0.7500  0.7500

Material: HfWAu2
Method: DFT, GGA-PBE
State: optimized geometry

Summary:
- Crystal system: cubic
- SG: F-43m
- Total moment: 5.55 μB per cell
- Formation energy from the elements: 7.34 kcal/mol of atoms

Cell: 6.6024 6.6024 6.6024 Å, 90.00 90.00 90.00°
Fractional coordinates of all 16 atoms:
Hf  0.0000  0.0000  0.0000
Hf  0.0000  0.5000  0.5000
Hf  0.5000  0.0000  0.5000
Hf  0.5000  0.5000  0.0000
W  0.2500  0.2500  0.7500
W  0.2500  0.7500  0.2500
W  0.7500  0.2500  0.2500
W  0.7500  0.7500  0.7500
Au  0.0000  0.0000  0.5000
Au  0.0000  0.5000  0.0000
Au  0.2500  0.2500  0.2500
Au  0.2500  0.7500  0.7500
Au  0.5000  0.0000  0.0000
Au  0.5000  0.5000  0.5000
Au  0.7500  0.2500  0.7500
Au  0.7500  0.7500  0.2500

Material: LuMgPO
Method: DFT, GGA-PBE
State: optimized geometry

Summary:
- Crystal system: tetragonal
- SG: P4/nmm
- Relative energy among the computed polymorphs: 0 meV/atom
- Total moment: 0.00 μB per cell

Cell: 3.9357 3.9357 8.6207 Å, 90.00 90.00 90.00°
Fractional coordinates of all 8 atoms:
Lu  0.2500  0.2500  0.1161
Lu  0.7500  0.7500  0.8839
Mg  0.2500  0.7500  0.5000
Mg  0.7500  0.2500  0.5000
P  0.2500  0.2500  0.6851
P  0.7500  0.7500  0.3149
O  0.2500  0.7500  0.0000
O  0.7500  0.2500  0.0000

Material: Nb3Fe
Method: DFT, GGA-PBE
State: optimized geometry

Summary:
- Crystal system: hexagonal
- SG: P6_3/mmc
- Total moment: 1.72 μB per cell
- Formation energy from the elements: 7.04 kcal/mol of atoms

Cell: 5.5963 5.5963 4.8671 Å, 90.00 90.00 120.00°
Fractional coordinates of all 8 atoms:
Nb  0.1718  0.3436  0.2500
Nb  0.1718  0.8282  0.2500
Nb  0.3436  0.1718  0.7500
Nb  0.6564  0.8282  0.2500
Nb  0.8282  0.1718  0.7500
Nb  0.8282  0.6564  0.7500
Fe  0.3333  0.6667  0.7500
Fe  0.6667  0.3333  0.2500

Material: AgPbSF
Method: DFT, GGA-PBE
State: optimized geometry

Summary:
- Crystal system: orthorhombic
- SG: Cmcm
- Relative energy among the computed polymorphs: 329 meV/atom

Cell: 5.3068 13.2126 5.0744 Å, 90.00 90.00 90.00°
Fractional coordinates of all 16 atoms:
Ag  0.0000  0.0000  0.0000
Ag  0.0000  0.0000  0.5000
Ag  0.5000  0.5000  0.0000
Ag  0.5000  0.5000  0.5000
Pb  0.0000  0.3746  0.2500
Pb  0.0000  0.6254  0.7500
Pb  0.5000  0.1254  0.7500
Pb  0.5000  0.8746  0.2500
S  0.0000  0.1554  0.2500
S  0.0000  0.8446  0.7500
S  0.5000  0.3446  0.7500
S  0.5000  0.6554  0.2500
F  0.0000  0.4483  0.7500
F  0.0000  0.5517  0.2500
F  0.5000  0.0517  0.2500
F  0.5000  0.9483  0.7500

Material: Mg2Nb
Method: DFT, GGA-PBE
State: optimized geometry

Summary:
- Crystal system: orthorhombic
- E: -48.598 eV per cell
- SG: Cmcm
- Total moment: 0.04 μB per cell

Cell: 2.8422 16.1407 5.1736 Å, 90.00 90.00 90.00°
Fractional coordinates of all 12 atoms:
Mg  0.0000  0.0593  0.2500
Mg  0.0000  0.2751  0.7500
Mg  0.0000  0.7249  0.2500
Mg  0.0000  0.9407  0.7500
Mg  0.5000  0.2249  0.2500
Mg  0.5000  0.4407  0.7500
Mg  0.5000  0.5593  0.2500
Mg  0.5000  0.7751  0.7500
Nb  0.0000  0.3964  0.2500
Nb  0.0000  0.6036  0.7500
Nb  0.5000  0.1036  0.7500
Nb  0.5000  0.8964  0.2500

Material: ZnI2
Method: DFT, GGA-PBE
State: optimized geometry

Summary:
- Crystal system: trigonal
- E: -23.210 eV per cell
- SG: R-3m

Cell: 29.4586 29.4586 29.4586 Å, 7.94 7.94 7.94°
Fractional coordinates of all 12 atoms:
Zn  0.0000  0.0000  0.0000
Zn  0.0833  0.0833  0.0833
Zn  0.5000  0.5000  0.5000
Zn  0.9167  0.9167  0.9167
I  0.1480  0.1480  0.1480
I  0.2314  0.2314  0.2314
I  0.3147  0.3147  0.3147
I  0.3981  0.3981  0.3981
I  0.6019  0.6019  0.6019
I  0.6853  0.6853  0.6853
I  0.7686  0.7686  0.7686
I  0.8520  0.8520  0.8520

Material: ErFe5P3
Method: DFT, GGA-PBE
State: optimized geometry

Summary:
- Crystal system: orthorhombic
- E: -276.258 eV per cell
- SG: Pnma
- Total moment: 8.48 μB per cell

Cell: 11.7727 3.6306 10.2510 Å, 90.00 90.00 90.00°
Fractional coordinates of all 36 atoms:
Er  0.2045  0.2500  0.0809
Er  0.2955  0.7500  0.5809
Er  0.7045  0.2500  0.4191
Er  0.7955  0.7500  0.9191
Fe  0.0098  0.7500  0.0947
Fe  0.0114  0.7500  0.7077
Fe  0.0676  0.7500  0.4635
Fe  0.1768  0.2500  0.7810
Fe  0.2015  0.2500  0.3762
Fe  0.2985  0.7500  0.8762
Fe  0.3232  0.7500  0.2810
Fe  0.4324  0.2500  0.9635
Fe  0.4886  0.2500  0.2077
Fe  0.4902  0.2500  0.5947
Fe  0.5098  0.7500  0.4053
Fe  0.5114  0.7500  0.7923
Fe  0.5676  0.7500  0.0365
Fe  0.6768  0.2500  0.7190
Fe  0.7015  0.2500  0.1238
Fe  0.7985  0.7500  0.6238
Fe  0.8232  0.7500  0.2190
Fe  0.9324  0.2500  0.5365
Fe  0.9886  0.2500  0.2923
Fe  0.9902  0.2500  0.9053
P  0.1038  0.7500  0.8998
P  0.1129  0.2500  0.5787
P  0.1280  0.7500  0.2656
P  0.3720  0.2500  0.7656
P  0.3871  0.7500  0.0787
P  0.3962  0.2500  0.3998
P  0.6038  0.7500  0.6002
P  0.6129  0.2500  0.9213
P  0.6280  0.7500  0.2344
P  0.8720  0.2500  0.7344
P  0.8871  0.7500  0.4213
P  0.8962  0.2500  0.1002

Material: TaCdB
Method: DFT, GGA-PBE
State: optimized geometry

Summary:
- Crystal system: cubic
- SG: F-43m
- Relative energy among the computed polymorphs: 0 meV/atom
- Total moment: 0.01 μB per cell

Cell: 6.0118 6.0118 6.0118 Å, 90.00 90.00 90.00°
Fractional coordinates of all 12 atoms:
Ta  0.0000  0.0000  0.0000
Ta  0.0000  0.5000  0.5000
Ta  0.5000  0.0000  0.5000
Ta  0.5000  0.5000  0.0000
Cd  0.2500  0.2500  0.2500
Cd  0.2500  0.7500  0.7500
Cd  0.7500  0.2500  0.7500
Cd  0.7500  0.7500  0.2500
B  0.2500  0.2500  0.7500
B  0.2500  0.7500  0.2500
B  0.7500  0.2500  0.2500
B  0.7500  0.7500  0.7500

Material: ScZn2Cu
Method: DFT, GGA-PBE
State: optimized geometry

Summary:
- Crystal system: cubic
- SG: F-43m
- Total moment: 0.00 μB per cell
- Formation energy from the elements: -6.68 kcal/mol of atoms

Cell: 6.2530 6.2530 6.2530 Å, 90.00 90.00 90.00°
Fractional coordinates of all 16 atoms:
Sc  0.0000  0.0000  0.0000
Sc  0.0000  0.5000  0.5000
Sc  0.5000  0.0000  0.5000
Sc  0.5000  0.5000  0.0000
Zn  0.0000  0.0000  0.5000
Zn  0.0000  0.5000  0.0000
Zn  0.2500  0.2500  0.7500
Zn  0.2500  0.7500  0.2500
Zn  0.5000  0.0000  0.0000
Zn  0.5000  0.5000  0.5000
Zn  0.7500  0.2500  0.2500
Zn  0.7500  0.7500  0.7500
Cu  0.2500  0.2500  0.2500
Cu  0.2500  0.7500  0.7500
Cu  0.7500  0.2500  0.7500
Cu  0.7500  0.7500  0.2500

Material: Li4CdSnAu2
Method: DFT, GGA-PBE
State: optimized geometry

Summary:
- Crystal system: tetragonal
- E: -22.861 eV per cell
- SG: P-4m2

Cell: 4.6005 4.6005 6.4329 Å, 90.00 90.00 90.00°
Fractional coordinates of all 8 atoms:
Li  0.0000  0.0000  0.0000
Li  0.0000  0.5000  0.7412
Li  0.5000  0.0000  0.2588
Li  0.5000  0.5000  0.5000
Cd  0.0000  0.0000  0.5000
Sn  0.5000  0.5000  0.0000
Au  0.0000  0.5000  0.2458
Au  0.5000  0.0000  0.7542

Material: SrPdW
Method: DFT, GGA-PBE
State: optimized geometry

Summary:
- Crystal system: cubic
- SG: F-43m
- Relative energy among the computed polymorphs: 731 meV/atom
- Total moment: 16.86 μB per cell

Cell: 6.9523 6.9523 6.9523 Å, 90.00 90.00 90.00°
Fractional coordinates of all 12 atoms:
Sr  0.0000  0.0000  0.0000
Sr  0.0000  0.5000  0.5000
Sr  0.5000  0.0000  0.5000
Sr  0.5000  0.5000  0.0000
Pd  0.2500  0.2500  0.7500
Pd  0.2500  0.7500  0.2500
Pd  0.7500  0.2500  0.2500
Pd  0.7500  0.7500  0.7500
W  0.2500  0.2500  0.2500
W  0.2500  0.7500  0.7500
W  0.7500  0.2500  0.7500
W  0.7500  0.7500  0.2500

| no. | theoretical density (g/cm3) |
| --- | --- |
| 1 | 9.53 |
| 2 | 17.45 |
| 3 | 6.12 |
| 4 | 8.42 |
| 5 | 6.84 |
| 6 | 3.96 |
| 7 | 5.01 |
| 8 | 8.18 |
| 9 | 9.30 |
| 10 | 6.50 |
| 11 | 7.96 |
| 12 | 7.47 |